1.
Density functional theory data (PBE-GGA) for an optimized crystal structure of Ac3NdRh.

Cell: 5.858 5.858 5.858 Å, 90.00 90.00 90.00°
Atoms (fractional coordinates):
1 Ac 0.000 0.000 0.500
2 Ac 0.000 0.500 0.000
3 Ac 0.500 0.000 0.000
4 Nd 0.500 0.500 0.500
5 Rh 0.000 0.000 0.000

## Properties
- SG: Pm-3m
- Crystal system: cubic
- Offset from the most stable computed form: 111 meV/atom
- DFT formation energy: -18.1 kJ per mole of atoms
- Total magnetic moment: 1.385 Bohr magnetons per cell

***

2.
Density functional theory data (PBE-GGA) for an optimized crystal structure of Ti3WCl.

Cell: 4.875 4.875 4.875 Å, 90.00 90.00 90.00°
Atoms (fractional coordinates):
1 Ti 0.000 0.000 0.500
2 Ti 0.000 0.500 0.000
3 Ti 0.500 0.000 0.000
4 W 0.000 0.000 0.000
5 Cl 0.500 0.500 0.500

## Properties
- SG: Pm-3m
- Crystal system: cubic
- Raw formation energy: 0.950 eV/atom
- Offset from the most stable computed form: 639 meV/atom
- Total magnetic moment: 0.000 Bohr magnetons per cell

***

3.
Density functional theory data (PBE-GGA) for an optimized crystal structure of CeNbCoP2.

Cell: 6.529 6.529 6.529 Å, 145.98 145.98 48.88°
Atoms (fractional coordinates):
1 Ce 0.000 0.000 0.000
2 Nb 0.250 0.750 0.500
3 Co 0.750 0.250 0.500
4 P 0.377 0.377 0.000
5 P 0.623 0.623 0.000

## Properties
- SG: I-4m2
- Crystal system: tetragonal
- DFT formation energy: -81.4 kJ per mole of atoms
- Total magnetic moment: 1.456 Bohr magnetons per cell

***

4.
Density functional theory data (PBE-GGA) for an optimized crystal structure of ZrCd2As.

Cell: 3.947 3.947 5.556 Å, 90.00 90.00 90.00°
Atoms (fractional coordinates):
1 Zr 0.000 0.000 0.000
2 Cd 0.500 0.500 0.251
3 Cd 0.500 0.500 0.749
4 As 0.000 0.000 0.500

## Properties
- SG: P4/mmm
- Crystal system: tetragonal
- DFT formation energy: -6.2 kJ per mole of atoms
- Total magnetic moment: 0.000 Bohr magnetons per cell

***

5.
Density functional theory data (PBE-GGA) for an optimized crystal structure of CsNa3Y.

Cell: 6.792 6.792 6.792 Å, 90.00 90.00 90.00°
Atoms (fractional coordinates):
1 Cs 0.000 0.000 0.000
2 Na 0.000 0.500 0.500
3 Na 0.500 0.000 0.500
4 Na 0.500 0.500 0.000
5 Y 0.500 0.500 0.500

## Properties
- SG: Pm-3m
- Crystal system: cubic
- Offset from the most stable computed form: 0 meV/atom
- DFT formation energy: 59.2 kJ per mole of atoms
- Total magnetic moment: 0.000 Bohr magnetons per cell

***

6.
Density functional theory data (PBE-GGA) for an optimized crystal structure of KNa3Li.

Cell: 8.450 5.503 9.241 Å, 90.00 109.67 90.00°
Atoms (fractional coordinates):
1 K 0.162 0.250 0.202
2 K 0.838 0.750 0.798
3 Na 0.180 0.250 0.800
4 Na 0.180 0.750 0.548
5 Na 0.499 0.250 0.660
6 Na 0.501 0.750 0.340
7 Na 0.820 0.250 0.452
8 Na 0.820 0.750 0.200
9 Li 0.418 0.750 0.932
10 Li 0.582 0.250 0.068

## Properties
- SG: P2_1/m
- Crystal system: monoclinic
- Offset from the most stable computed form: 0 meV/atom
- DFT formation energy: 5.7 kJ per mole of atoms
- Total magnetic moment: 0.000 Bohr magnetons per cell

***

7.
Density functional theory data (PBE-GGA) for an optimized crystal structure of CaTbPmY.

Cell: 5.798 5.798 5.798 Å, 60.00 60.00 60.00°
Atoms (fractional coordinates):
1 Ca 0.000 0.000 0.000
2 Tb 0.250 0.250 0.250
3 Pm 0.500 0.500 0.500
4 Y 0.750 0.750 0.750

## Properties
- SG: F-43m
- Crystal system: cubic
- Offset from the most stable computed form: 106 meV/atom
- DFT formation energy: 15.8 kJ per mole of atoms
- Total magnetic moment: 0.603 Bohr magnetons per cell

***

8.
Density functional theory data (PBE-GGA) for an optimized crystal structure of Ac2Cd3Au4.

Cell: 9.168 8.227 5.751 Å, 79.83 62.04 38.13°
Atoms (fractional coordinates):
1 Ac 0.147 0.147 0.853
2 Ac 0.853 0.853 0.147
3 Cd 0.000 0.000 0.500
4 Cd 0.500 0.500 0.000
5 Cd 0.500 0.500 0.500
6 Au 0.164 0.494 0.506
7 Au 0.494 0.164 0.836
8 Au 0.506 0.836 0.164
9 Au 0.836 0.506 0.494

## Properties
- SG: Fmmm
- Crystal system: orthorhombic
- Offset from the most stable computed form: 9 meV/atom
- DFT formation energy: -50.8 kJ per mole of atoms
- Total magnetic moment: 0.000 Bohr magnetons per cell

***

9.
Density functional theory data (PBE-GGA) for an optimized crystal structure of Na2CaBr4.

Cell: 7.859 7.859 7.493 Å, 114.89 114.89 31.96°
Atoms (fractional coordinates):
1 Na 0.213 0.213 0.189
2 Na 0.787 0.787 0.811
3 Ca 0.500 0.500 0.500
4 Br 0.132 0.132 0.488
5 Br 0.382 0.382 0.079
6 Br 0.618 0.618 0.921
7 Br 0.868 0.868 0.512

## Properties
- SG: C2/m
- Crystal system: monoclinic
- Raw formation energy: -1.739 eV/atom
- Offset from the most stable computed form: 21 meV/atom
- Total magnetic moment: 0.000 Bohr magnetons per cell

***

10.
Density functional theory data (PBE-GGA) for an optimized crystal structure of CdFeBi3.

Cell: 5.164 5.164 5.164 Å, 90.00 90.00 90.00°
Atoms (fractional coordinates):
1 Cd 0.000 0.000 0.000
2 Fe 0.500 0.500 0.500
3 Bi 0.000 0.500 0.500
4 Bi 0.500 0.000 0.500
5 Bi 0.500 0.500 0.000

## Properties
- SG: Pm-3m
- Crystal system: cubic
- Offset from the most stable computed form: 0 meV/atom
- DFT formation energy: 41.7 kJ per mole of atoms
- Total magnetic moment: 0.000 Bohr magnetons per cell

***

11.
Density functional theory data (PBE-GGA) for an optimized crystal structure of MgGa2SnAs4.

Cell: 7.281 7.281 7.281 Å, 132.07 132.07 70.12°
Atoms (fractional coordinates):
1 Mg 0.000 0.000 0.000
2 Ga 0.250 0.750 0.500
3 Ga 0.750 0.250 0.500
4 Sn 0.500 0.500 0.000
5 As 0.114 0.620 0.000
6 As 0.380 0.380 0.493
7 As 0.620 0.114 0.000
8 As 0.886 0.886 0.507

## Properties
- SG: I-42m
- Crystal system: tetragonal
- DFT formation energy: -30.7 kJ per mole of atoms
- Total magnetic moment: 0.000 Bohr magnetons per cell

***

12.
Density functional theory data (PBE-GGA) for an optimized crystal structure of Tl3H8F2.

Cell: 5.046 7.899 7.901 Å, 61.96 75.77 75.96°
Atoms (fractional coordinates):
1 Tl 0.000 0.000 0.000
2 Tl 0.499 0.743 0.258
3 Tl 0.501 0.257 0.742
4 H 0.042 0.261 0.261
5 H 0.092 0.696 0.697
6 H 0.484 0.028 0.449
7 H 0.484 0.449 0.028
8 H 0.516 0.551 0.972
9 H 0.516 0.972 0.551
10 H 0.908 0.304 0.303
11 H 0.958 0.739 0.739
12 F 0.420 0.107 0.107
13 F 0.580 0.893 0.893

## Properties
- SG: P-1
- Crystal system: triclinic
- Energy: -43.701 eV per formula unit
- Total magnetic moment: 0.000 Bohr magnetons per cell

***

13.
Density functional theory data (PBE-GGA) for an optimized crystal structure of Ac6Dy2Ho.

Cell: 9.595 9.595 9.845 Å, 96.37 96.37 122.51°
Atoms (fractional coordinates):
1 Ac 0.068 0.371 0.866
2 Ac 0.159 0.719 0.554
3 Ac 0.281 0.841 0.946
4 Ac 0.293 0.379 0.579
5 Ac 0.371 0.068 0.366
6 Ac 0.379 0.293 0.079
7 Ac 0.621 0.707 0.921
8 Ac 0.629 0.932 0.634
9 Ac 0.707 0.621 0.421
10 Ac 0.719 0.159 0.054
11 Ac 0.841 0.281 0.446
12 Ac 0.932 0.629 0.134
13 Dy 0.179 0.464 0.255
14 Dy 0.464 0.179 0.755
15 Dy 0.536 0.821 0.245
16 Dy 0.821 0.536 0.745
17 Ho 0.028 0.972 0.750
18 Ho 0.972 0.028 0.250

## Properties
- SG: C2/c
- Crystal system: monoclinic
- DFT formation energy: 17.9 kJ per mole of atoms
- Total magnetic moment: 0.000 Bohr magnetons per cell

***

14.
Density functional theory data (PBE-GGA) for an optimized crystal structure of Ac4Rh2S.

Cell: 8.442 8.442 7.468 Å, 114.62 114.62 29.53°
Atoms (fractional coordinates):
1 Ac 0.134 0.134 0.458
2 Ac 0.359 0.359 0.007
3 Ac 0.641 0.641 0.993
4 Ac 0.866 0.866 0.542
5 Rh 0.265 0.265 0.273
6 Rh 0.735 0.735 0.727
7 S 0.000 0.000 0.000

## Properties
- SG: C2/m
- Crystal system: monoclinic
- Raw formation energy: -0.940 eV/atom
- Total magnetic moment: 0.000 Bohr magnetons per cell

***

15.
Density functional theory data (PBE-GGA) for an optimized crystal structure of CuNiSbPt.

Cell: 4.411 4.411 4.411 Å, 60.00 60.00 60.00°
Atoms (fractional coordinates):
1 Cu 0.000 0.000 0.000
2 Ni 0.750 0.750 0.750
3 Sb 0.500 0.500 0.500
4 Pt 0.250 0.250 0.250

## Properties
- SG: F-43m
- Crystal system: cubic
- Raw formation energy: -0.109 eV/atom
- Total magnetic moment: 0.000 Bohr magnetons per cell

***

16.
Density functional theory data (PBE-GGA) for an optimized crystal structure of CaP4Br.

Cell: 5.712 5.712 5.712 Å, 60.00 60.00 60.00°
Atoms (fractional coordinates):
1 Ca 0.000 0.000 0.000
2 P 0.201 0.600 0.600
3 P 0.600 0.201 0.600
4 P 0.600 0.600 0.201
5 P 0.600 0.600 0.600
6 Br 0.250 0.250 0.250

## Properties
- SG: F-43m
- Crystal system: cubic
- Raw formation energy: -0.206 eV/atom
- Total magnetic moment: 0.003 Bohr magnetons per cell

***

17.
Density functional theory data (PBE-GGA) for an optimized crystal structure of Ti2Be2Ga.

Cell: 5.954 5.954 3.671 Å, 90.00 90.00 90.00°
Atoms (fractional coordinates):
1 Ti 0.167 0.333 0.000
2 Ti 0.333 0.833 0.000
3 Ti 0.667 0.167 0.000
4 Ti 0.833 0.667 0.000
5 Be 0.125 0.625 0.500
6 Be 0.375 0.125 0.500
7 Be 0.625 0.875 0.500
8 Be 0.875 0.375 0.500
9 Ga 0.000 0.000 0.500
10 Ga 0.500 0.500 0.500

## Properties
- SG: P4/mbm
- Crystal system: tetragonal
- DFT formation energy: -31.4 kJ per mole of atoms
- Total magnetic moment: 0.000 Bohr magnetons per cell

***

18.
Density functional theory data (PBE-GGA) for an optimized crystal structure of Sb3HPt.

Cell: 4.599 4.599 4.599 Å, 90.00 90.00 90.00°
Atoms (fractional coordinates):
1 Sb 0.000 0.000 0.500
2 Sb 0.000 0.500 0.000
3 Sb 0.500 0.000 0.000
4 H 0.000 0.000 0.000
5 Pt 0.500 0.500 0.500

## Properties
- SG: Pm-3m
- Crystal system: cubic
- Offset from the most stable computed form: 0 meV/atom
- Total magnetic moment: 0.000 Bohr magnetons per cell

***

19.
Density functional theory data (PBE-GGA) for an optimized crystal structure of ZnCoTe2I.

Cell: 5.007 5.007 5.547 Å, 90.00 90.00 90.00°
Atoms (fractional coordinates):
1 Zn 0.000 0.000 0.000
2 Co 0.500 0.500 0.500
3 Te 0.000 0.500 0.500
4 Te 0.500 0.000 0.500
5 I 0.500 0.500 0.000

## Properties
- SG: P4/mmm
- Crystal system: tetragonal
- Raw formation energy: 0.428 eV/atom
- Offset from the most stable computed form: 0 meV/atom
- Total magnetic moment: 1.273 Bohr magnetons per cell

***

20.
Density functional theory data (PBE-GGA) for an optimized crystal structure of Tb3NdDy2Bi6.

Cell: 10.075 10.075 9.014 Å, 102.88 102.88 25.85°
Atoms (fractional coordinates):
1 Tb 0.000 0.000 0.000
2 Tb 0.335 0.335 0.668
3 Tb 0.665 0.665 0.332
4 Nd 0.000 0.000 0.500
5 Dy 0.333 0.333 0.167
6 Dy 0.667 0.667 0.833
7 Bi 0.167 0.167 0.082
8 Bi 0.169 0.169 0.585
9 Bi 0.499 0.499 0.244
10 Bi 0.501 0.501 0.756
11 Bi 0.831 0.831 0.415
12 Bi 0.833 0.833 0.918

## Properties
- SG: C2/m
- Crystal system: monoclinic
- DFT formation energy: -85.1 kJ per mole of atoms
- Total magnetic moment: 0.000 Bohr magnetons per cell

***

21.
Density functional theory data (PBE-GGA) for an optimized crystal structure of NaDyIn2Br6.

Cell: 8.060 8.060 8.060 Å, 58.87 58.87 58.87°
Atoms (fractional coordinates):
1 Na 0.000 0.000 0.000
2 Dy 0.494 0.494 0.494
3 In 0.283 0.283 0.283
4 In 0.789 0.789 0.789
5 Br 0.159 0.713 0.349
6 Br 0.241 0.651 0.819
7 Br 0.349 0.159 0.713
8 Br 0.651 0.819 0.241
9 Br 0.713 0.349 0.159
10 Br 0.819 0.241 0.651

## Properties
- SG: R3
- Crystal system: trigonal
- Raw formation energy: -1.329 eV/atom
- Total magnetic moment: 0.000 Bohr magnetons per cell

***

22.
Density functional theory data (PBE-GGA) for an optimized crystal structure of LaAl5Rh3.

Cell: 6.844 6.844 12.589 Å, 90.00 90.00 146.45°
Atoms (fractional coordinates):
1 La 0.160 0.840 0.750
2 La 0.840 0.160 0.250
3 Al 0.000 0.000 0.000
4 Al 0.000 0.000 0.500
5 Al 0.201 0.799 0.062
6 Al 0.201 0.799 0.438
7 Al 0.443 0.557 0.647
8 Al 0.443 0.557 0.853
9 Al 0.557 0.443 0.147
10 Al 0.557 0.443 0.353
11 Al 0.799 0.201 0.562
12 Al 0.799 0.201 0.938
13 Rh 0.127 0.873 0.250
14 Rh 0.390 0.610 0.044
15 Rh 0.390 0.610 0.456
16 Rh 0.610 0.390 0.544
17 Rh 0.610 0.390 0.956
18 Rh 0.873 0.127 0.750

## Properties
- SG: Cmcm
- Crystal system: orthorhombic
- DFT formation energy: -74.8 kJ per mole of atoms
- Total magnetic moment: 0.000 Bohr magnetons per cell

***

23.
Density functional theory data (PBE-GGA) for an optimized crystal structure of Pa2CuP4.

Cell: 3.820 3.820 8.935 Å, 90.00 90.00 90.00°
Atoms (fractional coordinates):
1 Pa 0.000 0.500 0.239
2 Pa 0.500 0.000 0.761
3 Cu 0.000 0.000 0.500
4 P 0.000 0.000 0.000
5 P 0.000 0.500 0.656
6 P 0.500 0.000 0.344
7 P 0.500 0.500 0.000

## Properties
- SG: P-4m2
- Crystal system: tetragonal
- DFT formation energy: -83.3 kJ per mole of atoms
- Total magnetic moment: 0.000 Bohr magnetons per cell

***

24.
Density functional theory data (PBE-GGA) for an optimized crystal structure of NdTlZnHg.

Cell: 5.193 5.193 5.193 Å, 60.00 60.00 60.00°
Atoms (fractional coordinates):
1 Nd 0.000 0.000 0.000
2 Tl 0.500 0.500 0.500
3 Zn 0.750 0.750 0.750
4 Hg 0.250 0.250 0.250

## Properties
- SG: F-43m
- Crystal system: cubic
- DFT formation energy: -23.2 kJ per mole of atoms
- Total magnetic moment: 0.000 Bohr magnetons per cell

***

25.
Density functional theory data (PBE-GGA) for an optimized crystal structure of Ce5BiSb4.

Cell: 11.969 11.969 11.969 Å, 158.24 149.00 38.20°
Atoms (fractional coordinates):
1 Ce 0.000 0.000 0.000
2 Ce 0.199 0.199 0.000
3 Ce 0.397 0.397 0.000
4 Ce 0.603 0.603 0.000
5 Ce 0.801 0.801 0.000
6 Bi 0.500 0.000 0.500
7 Sb 0.100 0.600 0.500
8 Sb 0.299 0.799 0.500
9 Sb 0.701 0.201 0.500
10 Sb 0.900 0.400 0.500

## Properties
- SG: Immm
- Crystal system: orthorhombic
- Raw formation energy: -0.989 eV/atom
- Offset from the most stable computed form: 2 meV/atom
- Total magnetic moment: 4.380 Bohr magnetons per cell